--- i ---
Entry from Alexandria via LeMat-Bulk: crystalline Ca2NdAu at its relaxed geometry (PBE-GGA).

Crystal system = tetragonal
DOS at the Fermi energy = 5.3 states/eV/f.u.

abc: 3.602 3.602 9.592
angles: 90.00 90.00 90.00
Sites, in units of the cell vectors:
1 Ca 0.000 0.000 0.189
2 Ca 0.000 0.000 0.811
3 Au 0.500 0.500 0.000
4 Nd 0.500 0.500 0.500

***

--- ii ---
Entry from Alexandria via LeMat-Bulk: crystalline Ca2NdAu at its relaxed geometry (PBE-GGA).

Crystal system = orthorhombic
DOS at the Fermi energy = 5.5 states/eV/f.u.

abc: 3.907 6.723 10.312
angles: 90.00 90.00 106.91
Sites, in units of the cell vectors:
1 Ca 0.361 0.723 0.935
2 Ca 0.639 0.277 0.065
3 Ca 0.361 0.723 0.565
4 Ca 0.639 0.277 0.435
5 Nd 0.074 0.148 0.750
6 Nd 0.926 0.852 0.250
7 Au 0.750 0.500 0.750
8 Au 0.250 0.500 0.250

***

Which structure above is the least stable one? i is the least stable one.